(1)
This record from the Alexandria database describes a relaxed structure of LiLaSc2. The functional is GGA-PBE.

Results
- E above lowest polymorph: 169 meV per atom
- Energy relative to the elements: 1.130 eV/f.u.

```
LiLaSc2
1.0
0.0000 3.7313 3.7313
3.7313 0.0000 3.7313
3.7313 3.7313 0.0000
Li La Sc
1 1 2
Cartesian
0.0000 0.0000 0.0000
3.7313 3.7313 3.7313
1.8656 1.8656 1.8656
5.5969 5.5969 5.5969
```

(2)
This record from the Alexandria database describes a relaxed structure of Li2LaSc2. The functional is GGA-PBE.

Results
- E above lowest polymorph: 0 meV per atom
- Energy relative to the elements: 1.114 eV/f.u.

```
Li2LaSc2
1.0
8.2248 0.0000 0.0000
0.0000 8.2248 0.0000
0.0000 0.0000 3.5899
Li La Sc
4 2 4
Cartesian
1.0500 3.0624 0.0000
3.0624 7.1748 0.0000
5.1624 1.0500 0.0000
7.1748 5.1624 0.0000
0.0000 0.0000 0.0000
4.1124 4.1124 0.0000
1.3681 5.4805 1.7949
2.7443 1.3681 1.7949
5.4805 6.8567 1.7949
6.8567 2.7443 1.7949
```

(3)
This record from the Alexandria database describes a relaxed structure of LiLaSc2. The functional is GGA-PBE.

Results
- E above lowest polymorph: 105 meV per atom
- Energy relative to the elements: 0.873 eV/f.u.

```
LiLaSc2
1.0
4.5762 0.0000 0.0000
0.0000 4.5762 0.0000
0.0000 0.0000 5.1118
Li La Sc
1 1 2
Cartesian
0.0000 0.0000 0.0000
2.2881 2.2881 0.0000
0.0000 2.2881 2.5559
2.2881 0.0000 2.5559
```

(4)
This record from the Alexandria database describes a relaxed structure of LiLa3Sc. The functional is GGA-PBE.

Results
- E above lowest polymorph: 0 meV per atom
- Energy relative to the elements: 2.482 eV/f.u.

```
LiLa3Sc
1.0
5.4821 0.0000 0.0000
0.0000 5.4821 0.0000
0.0000 0.0000 5.4821
Li La Sc
1 3 1
Cartesian
0.0000 0.0000 0.0000
0.0000 0.0000 2.7411
0.0000 2.7411 0.0000
2.7411 0.0000 0.0000
2.7411 2.7411 2.7411
```

(5)
This record from the Alexandria database describes a relaxed structure of LiLaSc3. The functional is GGA-PBE.

Results
- E above lowest polymorph: 533 meV per atom
- Energy relative to the elements: 4.410 eV/f.u.

```
LiLaSc3
1.0
5.3439 0.0000 0.0000
0.0000 5.3439 0.0000
0.0000 0.0000 5.3439
Li La Sc
1 1 3
Cartesian
0.0000 0.0000 0.0000
2.6719 2.6719 2.6719
0.0000 2.6719 2.6719
2.6719 0.0000 2.6719
2.6719 2.6719 0.0000
```

(6)
This record from the Alexandria database describes a relaxed structure of LiLaSc. The functional is GGA-PBE.

Results
- E above lowest polymorph: 18 meV per atom
- Energy relative to the elements: 0.365 eV/f.u.

```
LiLaSc
1.0
-1.8390 1.8390 5.9151
1.8390 -1.8390 5.9151
1.8390 1.8390 -5.9151
Li La Sc
1 1 1
Cartesian
0.0000 0.0000 0.0000
0.0000 0.0000 8.0045
0.0000 0.0000 4.3675
```

(7)
This record from the Alexandria database describes a relaxed structure of LiLaSc3. The functional is GGA-PBE.

Results
- E above lowest polymorph: 0 meV per atom
- Energy relative to the elements: 1.743 eV/f.u.

```
LiLaSc3
1.0
5.1087 0.0000 0.0000
0.0000 5.1087 0.0000
0.0000 0.0000 5.1087
Li La Sc
1 1 3
Cartesian
0.0000 0.0000 0.0000
2.5543 2.5543 2.5543
0.0000 0.0000 2.5543
0.0000 2.5543 0.0000
2.5543 0.0000 0.0000
```

(8)
This record from the Alexandria database describes a relaxed structure of Li3LaSc. The functional is GGA-PBE.

Results
- E above lowest polymorph: 428 meV per atom
- Energy relative to the elements: 5.423 eV/f.u.

```
Li3LaSc
1.0
5.1276 0.0000 0.0000
0.0000 5.1276 0.0000
0.0000 0.0000 5.1276
Li La Sc
3 1 1
Cartesian
0.0000 0.0000 2.5638
0.0000 2.5638 0.0000
2.5638 0.0000 0.0000
0.0000 0.0000 0.0000
2.5638 2.5638 2.5638
```

(9)
This record from the Alexandria database describes a relaxed structure of LiLaSc2. The functional is GGA-PBE.

Results
- E above lowest polymorph: 77 meV per atom
- Energy relative to the elements: 0.761 eV/f.u.

```
LiLaSc2
1.0
-2.6534 2.6534 3.7699
2.6534 -2.6534 3.7699
2.6534 2.6534 -3.7699
Li La Sc
1 1 2
Cartesian
0.0000 0.0000 0.0000
0.0000 2.6534 1.8849
2.6534 0.0000 1.8849
0.0000 0.0000 3.7699
```

(10)
This record from the Alexandria database describes a relaxed structure of LiLaSc2Se4. The functional is GGA-PBE.

Results
- Formation energy (no corrections): -1.686 eV/atom

```
LiLaSc2Se4
1.0
6.8696 0.0000 0.0000
0.0000 3.9835 0.0000
-2.2916 0.0000 6.7013
Li La Sc Se
1 1 2 4
Cartesian
0.0000 0.0000 0.0000
3.4348 1.9917 0.0000
-1.1458 1.9917 3.3507
2.2890 0.0000 3.3507
-0.0885 0.0000 4.8774
1.0780 1.9917 1.7887
3.5000 1.9917 4.9127
4.6666 0.0000 1.8239
```

(11)
This record from the Alexandria database describes a relaxed structure of LiLa2ScSe4. The functional is GGA-PBE.

Results
- Formation energy (no corrections): -1.758 eV/atom

```
LiLa2ScSe4
1.0
7.0262 0.0000 0.0000
0.0000 4.1414 0.0000
-2.4335 0.0000 6.7779
Li La Sc Se
1 2 1 4
Cartesian
0.0000 0.0000 0.0000
2.2963 0.0000 3.3889
3.5131 2.0707 0.0000
-1.2168 2.0707 3.3889
-0.2555 0.0000 5.0126
0.9666 2.0707 1.6501
3.6261 2.0707 5.1277
4.8481 0.0000 1.7653
```

(12)
This record from the Alexandria database describes a relaxed structure of LiLa4Sc3Se8. The functional is GGA-PBE.

Results
- Formation energy (no corrections): -1.769 eV/atom

```
LiLa4Sc3Se8
1.0
4.0943 2.3639 6.7149
-4.0943 2.3639 6.7149
0.0000 -4.7277 6.7149
Li La Sc Se
1 4 3 8
Cartesian
0.0000 0.0000 0.0000
-4.0943 0.0000 10.0723
-2.0472 1.1819 3.3574
2.0472 1.1819 3.3574
0.0000 0.0000 10.0723
-2.0472 -1.1819 6.7149
-2.0472 1.1819 13.4297
0.0000 2.3639 6.7149
0.0000 -2.3675 8.1725
-2.0503 1.1838 8.1725
-2.0503 -1.1838 11.9721
0.0000 0.0000 5.2479
0.0000 0.0000 14.8967
2.0503 1.1838 8.1725
2.0503 -1.1838 11.9721
0.0000 2.3675 11.9721
```

(13)
This record from the Alexandria database describes a relaxed structure of LiLaSmSc. The functional is GGA-PBE.

Results
- Energy relative to the elements: 0.550 eV/f.u.

```
LiLaSmSc
1.0
0.0000 3.8757 3.8757
3.8757 0.0000 3.8757
3.8757 3.8757 0.0000
Li La Sm Sc
1 1 1 1
Cartesian
0.0000 0.0000 0.0000
5.8135 5.8135 5.8135
1.9378 1.9378 1.9378
3.8757 3.8757 3.8757
```

(14)
This record from the Alexandria database describes a relaxed structure of LiLaSc2Sn. The functional is GGA-PBE.

Results
- Energy relative to the elements: 4.215 eV/f.u.

```
LiLaSc2Sn
1.0
5.2505 0.0000 0.0000
0.0000 5.2505 0.0000
0.0000 0.0000 4.9198
Li La Sc Sn
1 1 2 1
Cartesian
0.0000 0.0000 0.0000
0.0000 0.0000 2.4599
0.0000 2.6252 2.4599
2.6252 0.0000 2.4599
2.6252 2.6252 0.0000
```

(15)
This record from the Alexandria database describes a relaxed structure of LiLaScSn. The functional is GGA-PBE.

Results
- Energy relative to the elements: -1.575 eV/f.u.

```
LiLaScSn
1.0
0.0000 3.7020 3.7020
3.7020 0.0000 3.7020
3.7020 3.7020 0.0000
Li La Sc Sn
1 1 1 1
Cartesian
0.0000 0.0000 0.0000
1.8510 1.8510 1.8510
5.5530 5.5530 5.5530
3.7020 3.7020 3.7020
```

(16)
This record from the Alexandria database describes a relaxed structure of Li3La2ScSn4. The functional is GGA-PBE.

Results
- Energy relative to the elements: -6.174 eV/f.u.

```
Li3La2ScSn4
1.0
4.5930 0.0000 0.0000
0.0000 4.5930 0.0000
0.0000 0.0000 11.6999
Li La Sc Sn
3 2 1 4
Cartesian
0.0000 0.0000 0.0000
0.0000 2.2965 7.3460
2.2965 0.0000 4.3539
0.0000 2.2965 3.1196
2.2965 0.0000 8.5803
2.2965 2.2965 0.0000
0.0000 0.0000 5.8500
0.0000 2.2965 9.9606
2.2965 0.0000 1.7393
2.2965 2.2965 5.8500
```

(17)
This record from the Alexandria database describes a relaxed structure of LiLaTbSc. The functional is GGA-PBE.

Results
- Energy relative to the elements: 0.584 eV/f.u.

```
LiLaTbSc
1.0
0.0000 3.8547 3.8547
3.8547 0.0000 3.8547
3.8547 3.8547 0.0000
Li La Tb Sc
1 1 1 1
Cartesian
0.0000 0.0000 0.0000
1.9273 1.9273 1.9273
5.7820 5.7820 5.7820
3.8547 3.8547 3.8547
```

(18)
This record from the Alexandria database describes a relaxed structure of LiLaScTc. The functional is GGA-PBE.

Results
- Energy relative to the elements: 0.059 eV/f.u.

```
LiLaScTc
1.0
0.0000 3.4650 3.4650
3.4650 0.0000 3.4650
3.4650 3.4650 0.0000
Li La Sc Tc
1 1 1 1
Cartesian
0.0000 0.0000 0.0000
5.1975 5.1975 5.1975
1.7325 1.7325 1.7325
3.4650 3.4650 3.4650
```

(19)
This record from the Alexandria database describes a relaxed structure of LiLa2ScTc. The functional is GGA-PBE.

Results
- Energy relative to the elements: 0.426 eV/f.u.

```
LiLa2ScTc
1.0
5.4799 0.0000 0.0000
0.0000 5.4799 0.0000
0.0000 0.0000 5.2016
Li La Sc Tc
1 2 1 1
Cartesian
0.0000 0.0000 0.0000
0.0000 2.7399 2.6008
2.7399 0.0000 2.6008
2.7399 2.7399 0.0000
2.7399 2.7399 2.6008
```

(20)
This record from the Alexandria database describes a relaxed structure of LiLa4Sc3Te8. The functional is GGA-PBE.

Results
- Formation energy (no corrections): -1.355 eV/atom

```
LiLa4Sc3Te8
1.0
4.3711 2.5237 7.1793
-4.3711 2.5237 7.1793
0.0000 -5.0473 7.1793
Li La Sc Te
1 4 3 8
Cartesian
0.0000 0.0000 0.0000
-4.3711 0.0000 10.7690
-2.1855 1.2618 3.5897
2.1855 1.2618 3.5897
0.0000 0.0000 10.7690
-2.1855 -1.2618 7.1793
-2.1855 1.2618 14.3587
0.0000 2.5237 7.1793
0.0000 -2.5347 8.7507
-2.1951 1.2674 8.7507
-2.1951 -1.2674 12.7873
0.0000 0.0000 5.5963
0.0000 0.0000 15.9417
2.1951 1.2674 8.7507
2.1951 -1.2674 12.7873
0.0000 2.5347 12.7873
```

(21)
This record from the Alexandria database describes a relaxed structure of LiLa2ScTe5. The functional is GGA-PBE.

Results
- Formation energy (no corrections): -1.384 eV/atom

```
LiLa2ScTe5
1.0
2.2114 -9.3653 0.0000
2.2114 9.3653 0.0000
0.0000 0.0000 13.0715
Li La Sc Te
2 4 2 10
Cartesian
2.2114 8.1532 6.5357
2.2114 -8.1532 0.0000
2.2114 2.3814 4.5191
2.2114 2.0164 9.5159
2.2114 -2.0164 2.9802
2.2114 -2.3814 11.0549
2.2114 3.6599 0.6975
2.2114 -3.6599 7.2332
2.2114 9.3256 10.7392
2.2114 6.6431 0.5414
2.2114 5.7410 5.1626
2.2114 5.3251 9.1861
2.2114 0.9363 1.3898
2.2114 -0.9363 7.9256
2.2114 -5.3251 2.6504
2.2114 -5.7410 11.6984
2.2114 -6.6431 7.0772
2.2114 -9.3256 4.2035
```

(22)
This record from the Alexandria database describes a relaxed structure of LiLaScTl. The functional is GGA-PBE.

Results
- Energy relative to the elements: -0.653 eV/f.u.

```
LiLaScTl
1.0
0.0000 3.7523 3.7523
3.7523 0.0000 3.7523
3.7523 3.7523 0.0000
Li La Sc Tl
1 1 1 1
Cartesian
0.0000 0.0000 0.0000
5.6285 5.6285 5.6285
1.8762 1.8762 1.8762
3.7523 3.7523 3.7523
```

(23)
This record from the Alexandria database describes a relaxed structure of Li2La2ScTl2. The functional is GGA-PBE.

Results
- Energy relative to the elements: -1.442 eV/f.u.

```
Li2La2ScTl2
1.0
2.3884 1.3790 8.7667
-2.3884 1.3790 8.7667
0.0000 -2.7579 8.7667
Li La Sc Tl
2 2 1 2
Cartesian
0.0000 0.0000 2.9190
0.0000 0.0000 23.3811
0.0000 0.0000 9.6129
0.0000 0.0000 16.6872
0.0000 0.0000 13.1500
0.0000 0.0000 5.9865
0.0000 0.0000 20.3136
```

(24)
This record from the Alexandria database describes a relaxed structure of Li2LaScTl4. The functional is GGA-PBE.

Results
- Energy relative to the elements: -2.424 eV/f.u.

```
Li2LaScTl4
1.0
2.4708 1.4265 9.4021
-2.4708 1.4265 9.4021
0.0000 -2.8530 9.4021
Li La Sc Tl
2 1 1 4
Cartesian
0.0000 0.0000 6.6862
0.0000 0.0000 21.5203
0.0000 0.0000 0.0000
0.0000 0.0000 14.1032
0.0000 0.0000 3.4984
0.0000 0.0000 11.0492
0.0000 0.0000 17.1572
0.0000 0.0000 24.7081
```

(25)
This record from the Alexandria database describes a relaxed structure of Li2La2ScTl5. The functional is GGA-PBE.

Results
- Energy relative to the elements: -3.034 eV/f.u.

```
Li2La2ScTl5
1.0
11.5260 0.0000 0.0000
0.0000 11.5260 0.0000
0.0000 0.0000 3.8027
Li La Sc Tl
4 4 2 10
Cartesian
1.4474 4.3156 0.0000
4.3156 10.0786 0.0000
7.2104 1.4474 0.0000
10.0786 7.2104 0.0000
2.0042 7.7672 0.0000
3.7588 2.0042 0.0000
7.7672 9.5218 0.0000
9.5218 3.7588 0.0000
0.0000 0.0000 0.0000
5.7630 5.7630 0.0000
0.0000 5.7630 1.9013
0.7262 2.3502 1.9013
2.3502 10.7998 1.9013
3.4128 5.0368 1.9013
5.0368 8.1132 1.9013
5.7630 0.0000 1.9013
6.4892 3.4128 1.9013
8.1132 6.4892 1.9013
9.1757 0.7262 1.9013
10.7998 9.1757 1.9013
```